TbPm3Hg after structural relaxation, computed with GGA-PBE.

Cell lengths 3.6134, 8.2656, 11.2614 Å; angles 105.50, 99.23, 90.00 degrees
Element x y z (fractional)
Hg (0.5824, 0.6121, 0.1648)
Hg (0.4176, 0.3879, 0.8352)
Pm (0.6182, 0.0388, 0.2363)
Pm (0.1737, 0.4525, 0.3475)
Pm (0.9862, 0.7555, 0.9723)
Pm (0.3818, 0.9612, 0.7637)
Pm (0.0138, 0.2445, 0.0277)
Pm (0.8263, 0.5475, 0.6525)
Tb (0.2627, 0.1775, 0.5254)
Tb (0.7373, 0.8225, 0.4746)

Results
Energy relative to the elements, meV/atom: -83
Distance to the lowest polymorph of the same formula, meV/atom: 12
Crystal system: monoclinic
Space-group type: C2/m, No. 12
Uncorrected energy, Ry/atom: -0.288

---

Y2BPt5 after structural relaxation, computed with GGA-PBE.

Cell lengths 5.7879, 5.7771, 5.8689 Å; angles 119.47, 115.58, 90.00 degrees
Element x y z (fractional)
B (0.9868, 0.9724, 0.9448)
Pt (0.7523, 0.7527, 0.0123)
Pt (0.7522, 0.2595, 0.0122)
Pt (0.2735, 0.7608, 0.0330)
Pt (0.7170, 0.7343, 0.4688)
Pt (0.2734, 0.2722, 0.0328)
Y (0.2451, 0.7621, 0.5244)
Y (0.7767, 0.2629, 0.5257)

Results
Energy relative to the elements, meV/atom: -962
Crystal system: monoclinic
Space-group type: Cm, No. 8
Uncorrected energy, Ry/atom: -0.528

---

BaCo2Si after structural relaxation, computed with GGA-PBE.

Cell lengths 4.0925, 4.0925, 6.1931 Å; angles 70.71, 70.71, 59.99 degrees
Element x y z (fractional)
Co (0.4293, 0.4293, 0.7121)
Co (0.0707, 0.0707, 0.7879)
Ba (0.2500, 0.2500, 0.2500)
Si (0.7500, 0.7500, 0.7500)

Results
Formation energy from raw total energies, eV per formula unit: -0.9
Crystal system: trigonal
Space-group type: R-3m, No. 166
Uncorrected energy, Ry/atom: -0.412

---

Li4Ag15Pb after structural relaxation, computed with GGA-PBE.

Cell lengths 4.1681, 4.1681, 20.5685 Å; angles 90.00, 90.00, 90.00 degrees
Element x y z (fractional)
Ag (0.5000, 0.5000, 0.5965)
Ag (0.5000, 0.5000, 0.7896)
Ag (0.0000, 0.5000, 0.1143)
Ag (0.5000, 0.0000, 0.1143)
Ag (0.0000, 0.5000, 0.8857)
Ag (0.5000, 0.5000, 0.4035)
Ag (0.0000, 0.5000, 0.5000)
Ag (0.5000, 0.0000, 0.5000)
Ag (0.0000, 0.5000, 0.6929)
Ag (0.5000, 0.5000, 0.2104)
Ag (0.5000, 0.0000, 0.6929)
Ag (0.5000, 0.0000, 0.8857)
Ag (0.0000, 0.5000, 0.3071)
Ag (0.5000, 0.0000, 0.3071)
Ag (0.5000, 0.5000, 0.0000)
Li (0.0000, 0.0000, 0.5972)
Li (0.0000, 0.0000, 0.2101)
Li (0.0000, 0.0000, 0.4028)
Li (0.0000, 0.0000, 0.7899)
Pb (0.0000, 0.0000, 0.0000)

Results
Energy relative to the elements, meV/atom: -69
Crystal system: tetragonal
Space-group type: P4/mmm, No. 123
Uncorrected energy, Ry/atom: -0.204

---

Mg3Ga4Cu2 after structural relaxation, computed with GGA-PBE.

Cell lengths 4.2667, 5.3092, 7.9592 Å; angles 102.19, 90.00, 113.69 degrees
Element x y z (fractional)
Mg (0.3789, 0.7578, 0.3012)
Mg (0.0000, 0.0000, 0.0000)
Mg (0.6211, 0.2422, 0.6988)
Cu (0.7010, 0.4020, 0.3854)
Cu (0.2990, 0.5980, 0.6146)
Ga (0.0781, 0.1562, 0.3798)
Ga (0.7119, 0.4238, 0.0793)
Ga (0.9219, 0.8438, 0.6202)
Ga (0.2881, 0.5762, 0.9207)

Results
Energy relative to the elements, meV/atom: -126
Distance to the lowest polymorph of the same formula, meV/atom: 16
Crystal system: monoclinic
Space-group type: C2/m, No. 12
Uncorrected energy, Ry/atom: -0.214

---

Tm6Ni5Ir after structural relaxation, computed with GGA-PBE.

Cell lengths 4.7428, 6.6346, 7.4831 Å; angles 90.00, 71.52, 90.00 degrees
Element x y z (fractional)
Ni (0.0000, 0.5000, 0.0000)
Ni (0.6672, 0.0000, 0.6655)
Ni (0.6653, 0.5000, 0.6693)
Ni (0.3347, 0.5000, 0.3307)
Ni (0.3328, 0.0000, 0.3345)
Tm (0.5000, 0.7495, 0.0000)
Tm (0.5000, 0.2505, 0.0000)
Tm (0.1669, 0.2501, 0.6663)
Tm (0.8331, 0.7499, 0.3337)
Tm (0.8331, 0.2501, 0.3337)
Tm (0.1669, 0.7499, 0.6663)
Ir (0.0000, 0.0000, 0.0000)

Results
Energy relative to the elements, meV/atom: -547
Crystal system: orthorhombic
Space-group type: Cmmm, No. 65
Uncorrected energy, Ry/atom: -0.436

---

PmThPt2 after structural relaxation, computed with GGA-PBE.

Cell lengths 3.8707, 4.5075, 5.8798 Å; angles 90.00, 109.16, 90.00 degrees
Element x y z (fractional)
Pt (0.1738, 0.5000, 0.8872)
Pt (0.9879, 0.0000, 0.5142)
Th (0.4484, 0.5000, 0.4343)
Pm (0.7208, 0.0000, 0.9822)

Results
Energy relative to the elements, meV/atom: -1222
Distance to the lowest polymorph of the same formula, meV/atom: 0
Crystal system: monoclinic
Space-group type: Pm, No. 6
Uncorrected energy, Ry/atom: -0.535

---

Ta2CuCl after structural relaxation, computed with GGA-PBE.

Cell lengths 4.5823, 2.8447, 5.4369 Å; angles 67.44, 90.00, 90.00 degrees
Element x y z (fractional)
Ta (0.0000, 0.0551, 0.9588)
Ta (0.5000, 0.4651, 0.2926)
Cl (0.0000, 0.3729, 0.4628)
Cu (0.5000, 0.6069, 0.7858)

Results
Distance to the lowest polymorph of the same formula, meV/atom: 289
Formation energy from raw total energies, eV per formula unit: 1.2
Crystal system: monoclinic
Space-group type: Pm, No. 6
Uncorrected energy, Ry/atom: -0.523

---

DyUGa6 after structural relaxation, computed with GGA-PBE.

Cell lengths 4.2576, 4.2576, 8.5524 Å; angles 90.00, 90.00, 90.00 degrees
Element x y z (fractional)
Ga (0.5000, 0.0000, 0.7514)
Ga (0.5000, 0.5000, 0.5000)
Ga (0.5000, 0.5000, 0.0000)
Ga (0.5000, 0.0000, 0.2486)
Ga (0.0000, 0.5000, 0.2486)
Ga (0.0000, 0.5000, 0.7514)
U (0.0000, 0.0000, 0.0000)
Dy (0.0000, 0.0000, 0.5000)

Results
Energy relative to the elements, meV/atom: -391
Crystal system: tetragonal
Space-group type: P4/mmm, No. 123
Uncorrected energy, Ry/atom: -0.342

---

TlC2 after structural relaxation, computed with GGA-PBE.

Cell lengths 5.8398, 5.8398, 5.8398 Å; angles 134.28, 134.28, 66.66 degrees
Element x y z (fractional)
C (0.3164, 0.8164, 0.5000)
C (0.5664, 0.5664, 0.0000)
C (0.4336, 0.4336, 0.0000)
C (0.1836, 0.6836, 0.5000)
Tl (0.7500, 0.2500, 0.5000)
Tl (0.0000, 0.0000, 0.0000)

Results
Energy relative to the elements, meV/atom: 1871
Distance to the lowest polymorph of the same formula, meV/atom: 969
Crystal system: tetragonal
Space-group type: I4_1/amd, No. 141
Uncorrected energy, Ry/atom: -0.372

---

PmGaPd6 after structural relaxation, computed with GGA-PBE.

Cell lengths 5.5108, 5.5108, 7.1367 Å; angles 67.29, 67.29, 60.00 degrees
Element x y z (fractional)
Pm (0.5000, 0.5000, 0.5000)
Pd (0.0751, 0.5625, 0.2873)
Pd (0.5625, 0.0751, 0.2873)
Pd (0.0751, 0.0751, 0.2873)
Pd (0.4375, 0.9249, 0.7127)
Pd (0.9249, 0.9249, 0.7127)
Pd (0.9249, 0.4375, 0.7127)
Ga (0.0000, 0.0000, 0.0000)

Results
Energy relative to the elements, meV/atom: -276
Distance to the lowest polymorph of the same formula, meV/atom: 345
Crystal system: trigonal
Space-group type: R-3m, No. 166
Uncorrected energy, Ry/atom: -0.378

---

CaMgSe2 after structural relaxation, computed with GGA-PBE.

Cell lengths 7.2610, 7.2610, 7.2610 Å; angles 31.95, 31.95, 31.95 degrees
Element x y z (fractional)
Se (0.0751, 0.0751, 0.0751)
Se (0.2579, 0.2579, 0.2579)
Mg (0.6679, 0.6679, 0.6679)
Ca (0.4991, 0.4991, 0.4991)

Results
Formation energy from raw total energies, eV per formula unit: -6.2
Crystal system: trigonal
Space-group type: R3m, No. 160
Uncorrected energy, Ry/atom: -0.308